DFT (PBE-GGA) results for an optimized crystal structure of LiCo2Rh.

Cell lengths 3.481, 3.481, 7.858 Å; angles 90.00, 90.00, 90.00 degrees
Space group I4/mmm (No. 139)
One atom of each set of equivalent atoms:
Li  0.000  0.000  0.000 [2 per cell]
Co  0.000  0.500  0.250 [4 per cell]
Rh  0.000  0.000  0.500 [2 per cell]

Results
The density of states at the Fermi level comes out at 7.81 states/eV per cell. The value obtained for the total DFT energy (no corrections) is -5.774 eV/atom. The calculated formation energy comes out at 0.10 eV per atom.